Record 1
The following is a DFT calculation (PBE) of Zn2NiIr after structural relaxation.

Its final energy is -4.37 eV per atom. The value obtained for the formation energy is -29 kJ/mol of formula units. As for the density of states at the Fermi level: 1.3658 states/eV/atom.

It has space group F-43m (No. 216), with a = 5.974 Å, b = 5.974 Å, c = 5.974 Å, α = 90.00°, β = 90.00° and γ = 90.00°. The inequivalent atoms are Zn at (0.000, 0.000, 0.000), Zn at (0.250, 0.250, 0.250), Ni at (0.250, 0.250, 0.750) and Ir at (0.000, 0.000, 0.500).

***

Record 2
The following is a DFT calculation (PBE) of Nd4S3N after structural relaxation.

Its final energy is -6.71 eV per atom. The formation energy from raw total energies is -1.735 eV/atom. Its polymorph energy (0 for the lowest one) is 109.7 meV/atom. As for the density of states at the Fermi level: 0.3030 states/eV/atom.

It has space group Pm-3m (No. 221), with a = 5.629 Å, b = 5.629 Å, c = 5.629 Å, α = 90.00°, β = 90.00° and γ = 90.00°. The inequivalent atoms are Nd at (0.000, 0.000, 0.000), Nd at (0.000, 0.500, 0.500), S at (0.000, 0.000, 0.500) and N at (0.500, 0.500, 0.500).

***

Record 3
The following is a DFT calculation (PBE) of CrPtN3 after structural relaxation.

Its final energy is -6.03 eV per atom. The formation energy from raw total energies is 2.096 eV/atom. As for the density of states at the Fermi level: 1.4225 states/eV/atom.

It has space group Pm-3m (No. 221), with a = 3.846 Å, b = 3.846 Å, c = 3.846 Å, α = 90.00°, β = 90.00° and γ = 90.00°. The inequivalent atoms are Cr at (0.000, 0.000, 0.000), Pt at (0.500, 0.500, 0.500) and N at (0.000, 0.500, 0.500).

***

Record 4
The following is a DFT calculation (PBE) of V2CoHg after structural relaxation.

Its final energy is -5.70 eV per atom. The value obtained for the formation energy is 275 kJ/mol of formula units. As for the density of states at the Fermi level: 1.4099 states/eV/atom.

It has space group I-42d (No. 122), with a = 3.639 Å, b = 3.639 Å, c = 18.578 Å, α = 90.00°, β = 90.00° and γ = 90.00°. The inequivalent atoms are V at (0.230, 0.250, 0.125), Co at (0.000, 0.000, 0.000) and Hg at (0.000, 0.000, 0.500).

***

Record 5
The following is a DFT calculation (PBE) of KLi2GeI6 after structural relaxation.

Its final energy is -2.70 eV per atom. The formation energy from raw total energies is -0.817 eV/atom. As for the density of states at the Fermi level: 0.4116 states/eV/atom.

It has space group C2/c (No. 15), with a = 16.453 Å, b = 13.937 Å, c = 8.721 Å, α = 90.00°, β = 116.46° and γ = 90.00°. The inequivalent atoms are K at (0.000, 0.159, 0.250), Li at (0.071, 0.436, 0.153), Ge at (0.000, 0.184, 0.750), I at (0.114, 0.070, 0.689), I at (0.117, 0.414, 0.498) and I at (0.128, 0.263, 0.055).

***

Record 6
The following is a DFT calculation (PBE) of Sc3Ge3Pd after structural relaxation.

Its final energy is -5.96 eV per atom. The value obtained for the formation energy is -353 kJ/mol of formula units. Its polymorph energy (0 for the lowest one) is 340.4 meV/atom. As for the density of states at the Fermi level: 0.9411 states/eV/atom.

It has space group P6_3/m (No. 176), with a = 7.6947 Å, b = 7.6947 Å, c = 5.1335 Å, α = 90.00°, β = 90.00° and γ = 120.00°. The inequivalent atoms are Sc at (0.0822, 0.4417, 0.2500), Ge at (0.0533, 0.2564, 0.7500) and Pd at (0.3333, 0.6667, 0.7500).

***

Record 7
The following is a DFT calculation (PBE) of Ga6PtRh2 after structural relaxation.

Its final energy is -4.73 eV per atom. The value obtained for the formation energy is -355 kJ/mol of formula units. As for the density of states at the Fermi level: 0.3490 states/eV/atom.

It has space group P2_1/c (No. 14), with a = 6.058 Å, b = 6.686 Å, c = 9.486 Å, α = 90.00°, β = 127.23° and γ = 90.00°. The inequivalent atoms are Ga at (0.033, 0.025, 0.205), Ga at (0.190, 0.666, 0.062), Ga at (0.419, 0.156, 0.073), Pt at (0.500, 0.000, 0.500) and Rh at (0.291, 0.156, 0.753).

***

Record 8
The following is a DFT calculation (PBE) of SmTlPb2 after structural relaxation.

Its final energy is -3.72 eV per atom. The value obtained for the formation energy is -38 kJ/mol of formula units. Its polymorph energy (0 for the lowest one) is 237.2 meV/atom. As for the density of states at the Fermi level: 1.1120 states/eV/atom.

It has space group R-3m (No. 166, hexagonal axes), with a = 5.5849 Å, b = 5.5849 Å, c = 13.7045 Å, α = 90.00°, β = 90.00° and γ = 120.00°. The inequivalent atoms are Sm at (0.0000, 0.0000, 0.0000), Tl at (0.0000, 0.0000, 0.5000) and Pb at (0.0000, 0.0000, 0.2499).

***

Q: Look up the final energy of the first one.
A: -4.37 eV per atom